This record from Alexandria describes ZrAuN2 after structural relaxation. The functional is GGA-PBE.

CIF file:
```
data_ZrAuN2
_cell_length_a 6.441
_cell_length_b 6.441
_cell_length_c 6.441
_cell_angle_alpha 30.48
_cell_angle_beta 30.48
_cell_angle_gamma 30.48
_symmetry_space_group_name_H-M 'P 1'
_symmetry_Int_Tables_number 1
loop_
_symmetry_equiv_pos_as_xyz
'x,y,z'
loop_
_atom_site_label
_atom_site_type_symbol
_atom_site_fract_x
_atom_site_fract_y
_atom_site_fract_z
Au1 Au 0.000 0.000 0.000
Zr1 Zr 0.500 0.500 0.500
N1 N 0.891 0.891 0.891
N2 N 0.109 0.109 0.109
```

## Properties
Energy relative to the elements, uncorrected = -0.37 eV per atom

---

This record from Alexandria describes MnTl2Rh after structural relaxation. The functional is GGA-PBE.

CIF file:
```
data_MnTl2Rh
_cell_length_a 4.623
_cell_length_b 3.230
_cell_length_c 5.374
_cell_angle_alpha 87.29
_cell_angle_beta 90.00
_cell_angle_gamma 90.00
_symmetry_space_group_name_H-M 'P 1'
_symmetry_Int_Tables_number 1
loop_
_symmetry_equiv_pos_as_xyz
'x,y,z'
loop_
_atom_site_label
_atom_site_type_symbol
_atom_site_fract_x
_atom_site_fract_y
_atom_site_fract_z
Mn1 Mn 0.500 0.250 0.250
Rh1 Rh 0.500 0.750 0.750
Tl1 Tl 0.000 0.992 0.997
Tl2 Tl 0.000 0.508 0.503
```

## Properties
Calculated formation energy = 8.8 kcal/mol of atoms